AlTl2Re: optimized geometry, PBE.

Summary:
The calculation puts the total magnetic moment at 0.00 μB per formula unit. The energy relative to the elements is 322 kJ/mol of formula units. The calculation puts the excess energy over the best structure of this formula in the dataset at 385 meV/atom. The raw total energy comes out at -4.40 eV per atom.

CIF file:
```
data_AlTl2Re
_chemical_formula_sum 'Al2 Tl4 Re2'
_space_group_name_H-M_alt 'C m m m'
_space_group_IT_number 65
_space_group_name_Hall '-C 2 2'
_cell_length_a 3.131
_cell_length_b 5.097
_cell_length_c 10.656
_cell_angle_alpha 90.00
_cell_angle_beta 90.00
_cell_angle_gamma 90.00
loop_
_atom_site_label
_atom_site_type_symbol
_atom_site_fract_x
_atom_site_fract_y
_atom_site_fract_z
Al1 Al 0.000 0.000 0.000
Tl1 Tl 0.000 0.500 0.266
Re1 Re 0.000 0.000 0.500
```